NaSrCoMo: optimized geometry, GGA-PBE.

extended XYZ file:
```
4
Lattice="4.610 0.946 1.090 1.197 1.333 4.486 2.480 -3.022 2.837" Properties=species:S:1:pos:R:3 pbc="T T T"
Co 2.072 -0.186 2.103
Mo 0.000 0.000 0.000
Na 6.215 -0.557 6.310
Sr 4.143 -0.372 4.206
```

## Properties
Raw total energy, Ry/atom: -0.303
Crystal system: cubic